A relaxed EuCu4Si crystal, computed with GGA-PBE.

## Properties
raw formation energy = -41 kJ/mol of formula units
magnetic moment = 7.0 μB/f.u.
volume = 370 Å³ per cell
ρ = 7.8 g cm⁻³

a = 7.176 Å, b = 7.176 Å, c = 7.176 Å
α = 90.00°, β = 90.00°, γ = 90.00°
Space group F-43m (No. 216)
Asymmetric unit:
Eu 0.000 0.000 0.000 [4 per cell]
Cu 0.124 0.124 0.624 [16 per cell]
Si 0.250 0.250 0.250 [4 per cell]

=====

A relaxed HoGa2Fe2Ge crystal, computed with GGA-PBE.

## Properties
magnetic moment = 3.0 μB/f.u.
volume = 106 Å³ per cell
ρ = 7.7 g cm⁻³
calculated total energy = -5.463 eV per atom

a = 4.386 Å, b = 4.386 Å, c = 5.506 Å
α = 90.00°, β = 90.00°, γ = 90.00°
Space group P4/mmm (No. 123)
Asymmetric unit:
Ho 0.000 0.000 0.000 [1 per cell]
Ga 0.500 0.500 0.240 [2 per cell]
Fe 0.000 0.500 0.500 [2 per cell]
Ge 0.000 0.000 0.500 [1 per cell]

=====

A relaxed KNaZrSe3 crystal, computed with GGA-PBE.

## Properties
raw formation energy = -751 kJ/mol of formula units
magnetic moment = 0.0 μB/f.u.
volume = 742 Å³ per cell
ρ = 3.5 g cm⁻³

a = 7.382 Å, b = 14.505 Å, c = 7.101 Å
α = 90.00°, β = 102.68°, γ = 90.00°
Space group C2/c (No. 15)
Asymmetric unit:
K 0.000 0.248 0.250 [4 per cell]
Na 0.000 0.423 0.750 [4 per cell]
Zr 0.000 0.054 0.750 [4 per cell]
Se 0.000 0.227 0.750 [4 per cell]
Se 0.235 0.045 0.502 [8 per cell]

=====

A relaxed ZrNi4Pt7 crystal, computed with GGA-PBE.

## Properties
magnetic moment = 3.0 μB/f.u.
volume = 177 Å³ per cell
ρ = 15.9 g cm⁻³
calculated total energy = -6.459 eV per atom

a = 4.846 Å, b = 5.483 Å, c = 7.184 Å
α = 78.48°, β = 71.26°, γ = 89.49°
Space group P-1 (No. 2)
Asymmetric unit:
Zr 0.000 0.000 0.000 [1 per cell]
Ni 0.165 0.416 0.333 [2 per cell]
Ni 0.354 0.829 0.663 [2 per cell]
Pt 0.000 0.500 0.000 [1 per cell]
Pt 0.172 0.913 0.345 [2 per cell]
Pt 0.319 0.336 0.660 [2 per cell]
Pt 0.498 0.746 0.998 [2 per cell]

=====

> volume of number 2 (HoGa2Fe2Ge)?

106 Å³ per cell